Entry 1:
Density functional theory data (SCAN) for a PBEsol-optimized structure of TaO2F2.

## Properties
**Formation energy (no corrections)**: 1.12 eV per formula unit

a b c (Å): 3.5076 3.5076 3.9003
angles (deg): 90.00 90.00 90.00
Atoms (fractional coordinates):
Ta1 0.0000 0.0000 0.0000
O1 0.0000 0.5000 0.5000
O2 0.5000 0.0000 0.5000
F1 0.5000 0.5000 0.0000
F2 0.5000 0.5000 0.5000

***

Entry 2:
Density functional theory data (SCAN) for a PBEsol-optimized structure of ZrInSn3.

## Properties
**Energy relative to the elements**: 0.95 eV per atom

a b c (Å): 5.3708 5.3708 5.3708
angles (deg): 90.00 90.00 90.00
Atoms (fractional coordinates):
Zr1 0.0000 0.0000 0.0000
In1 0.5000 0.5000 0.5000
Sn1 0.0000 0.5000 0.5000
Sn2 0.5000 0.0000 0.5000
Sn3 0.5000 0.5000 0.0000

***

Entry 3:
Density functional theory data (SCAN) for a PBEsol-optimized structure of VCu13As3S16.

## Properties
**Formation energy (no corrections)**: -11.92 eV per formula unit

a b c (Å): 10.4755 10.4755 10.4755
angles (deg): 90.00 90.00 90.00
Atoms (fractional coordinates):
V1 0.0000 0.0000 0.0000
V2 0.5000 0.5000 0.5000
Cu1 0.0000 0.0000 0.2558
Cu2 0.0000 0.0000 0.7442
Cu3 0.0000 0.2500 0.5000
Cu4 0.0000 0.2558 0.0000
Cu5 0.0000 0.7442 0.0000
Cu6 0.0000 0.7500 0.5000
Cu7 0.2442 0.5000 0.5000
Cu8 0.2498 0.2498 0.2498
Cu9 0.2502 0.2502 0.7498
Cu10 0.2500 0.5000 0.0000
Cu11 0.2502 0.7498 0.2502
Cu12 0.2498 0.7502 0.7502
Cu13 0.2558 0.0000 0.0000
Cu14 0.5000 0.0000 0.2500
Cu15 0.5000 0.0000 0.7500
Cu16 0.5000 0.2442 0.5000
Cu17 0.5000 0.5000 0.2442
Cu18 0.5000 0.5000 0.7558
Cu19 0.5000 0.7558 0.5000
Cu20 0.7442 0.0000 0.0000
Cu21 0.7498 0.2502 0.2502
Cu22 0.7502 0.2498 0.7502
Cu23 0.7500 0.5000 0.0000
Cu24 0.7502 0.7502 0.2498
Cu25 0.7498 0.7498 0.7498
Cu26 0.7558 0.5000 0.5000
As1 0.0000 0.5000 0.2500
As2 0.0000 0.5000 0.7500
As3 0.2500 0.0000 0.5000
As4 0.5000 0.2500 0.0000
As5 0.5000 0.7500 0.0000
As6 0.7500 0.0000 0.5000
S1 0.1217 0.1217 0.1217
S2 0.1217 0.8783 0.8783
S3 0.1249 0.1297 0.6262
S4 0.1249 0.8703 0.3738
S5 0.1262 0.3703 0.3751
S6 0.1262 0.6297 0.6249
S7 0.1297 0.3738 0.8751
S8 0.1297 0.6262 0.1249
S9 0.3703 0.3751 0.1262
S10 0.3703 0.6249 0.8738
S11 0.3738 0.1249 0.8703
S12 0.3738 0.8751 0.1297
S13 0.3751 0.1262 0.3703
S14 0.3751 0.8738 0.6297
S15 0.3783 0.3783 0.6217
S16 0.3783 0.6217 0.3783
S17 0.6217 0.3783 0.3783
S18 0.6217 0.6217 0.6217
S19 0.6249 0.1262 0.6297
S20 0.6249 0.8738 0.3703
S21 0.6262 0.1249 0.1297
S22 0.6262 0.8751 0.8703
S23 0.6297 0.3751 0.8738
S24 0.6297 0.6249 0.1262
S25 0.8703 0.3738 0.1249
S26 0.8703 0.6262 0.8751
S27 0.8738 0.3703 0.6249
S28 0.8738 0.6297 0.3751
S29 0.8751 0.1297 0.3738
S30 0.8751 0.8703 0.6262
S31 0.8783 0.1217 0.8783
S32 0.8783 0.8783 0.1217

***

Entry 4:
Density functional theory data (SCAN) for a PBEsol-optimized structure of Ba2MnCo.

## Properties
**Energy relative to the elements**: 0.52 eV per atom

a b c (Å): 3.7577 3.7577 7.7980
angles (deg): 90.00 90.00 90.00
Atoms (fractional coordinates):
Ba1 0.0000 0.0000 0.2292
Ba2 0.0000 0.0000 0.7708
Mn1 0.5000 0.5000 0.5000
Co1 0.5000 0.5000 0.0000